## Cs2NaV2O6 (PBE with a Hubbard U)

Data for crystalline Cs2NaV2O6 at its relaxed geometry.

a b c (Å): 6.4459 6.4459 7.1502
angles (deg): 114.39 114.39 60.03
Fractional positions:
Cs1 0.2141 0.2141 0.1675
Cs2 0.7859 0.7859 0.8325
Na1 0.0000 0.0000 0.5000
V1 0.4334 0.4334 0.7731
V2 0.5666 0.5666 0.2269
O1 0.2631 0.2631 0.6891
O2 0.2690 0.7188 0.2485
O3 0.2812 0.7310 0.7515
O4 0.7188 0.2690 0.2485
O5 0.7310 0.2812 0.7515
O6 0.7369 0.7369 0.3109

Total DFT energy (no corrections) (eV/atom): -6.04